## CuNiHgB (GGA-PBE)

Data for an optimized crystal structure of CuNiHgB.

a = 5.8618 Å, b = 5.8618 Å, c = 5.8618 Å
α = 90.00°, β = 90.00°, γ = 90.00°
With the nearest neighbours (Å) after each atom.
Positions (direct):
Cu 0.0000 0.0000 0.0000  4 Hg 2.54, 4 Ni 2.54
Cu 0.0000 0.5000 0.5000  4 Hg 2.54, 4 Ni 2.54
Cu 0.5000 0.0000 0.5000  4 Hg 2.54, 4 Ni 2.54
Cu 0.5000 0.5000 0.0000  4 Hg 2.54, 4 Ni 2.54
Ni 0.2500 0.2500 0.7500  4 Cu 2.54, 4 B 2.54
Ni 0.2500 0.7500 0.2500  4 Cu 2.54, 4 B 2.54
Ni 0.7500 0.2500 0.2500  4 Cu 2.54, 4 B 2.54
Ni 0.7500 0.7500 0.7500  4 B 2.54, 4 Cu 2.54
Hg 0.2500 0.2500 0.2500  4 Cu 2.54, 4 B 2.54
Hg 0.2500 0.7500 0.7500  4 Cu 2.54, 4 B 2.54
Hg 0.7500 0.2500 0.7500  4 Cu 2.54, 4 B 2.54
Hg 0.7500 0.7500 0.2500  4 Cu 2.54, 4 B 2.54
B 0.0000 0.0000 0.5000  4 Hg 2.54, 4 Ni 2.54
B 0.0000 0.5000 0.0000  4 Hg 2.54, 4 Ni 2.54
B 0.5000 0.0000 0.0000  4 Hg 2.54, 4 Ni 2.54
B 0.5000 0.5000 0.5000  4 Hg 2.54, 4 Ni 2.54

final energy = -3.280 eV per atom
space-group type = F-43m, No. 216
E above lowest polymorph = 0.0 meV/atom